16
Lattice="-4.958 4.958 2.457 4.958 -4.958 2.457 4.958 4.958 -2.457" Properties=species:S:1:pos:R:3 comment="Ta4FeSi3 | the Alexandria database | GGA-PBE | relaxed" vol_a3_per_atom=15.10 energy_ev_per_cell=-152.72 sg=I4/mcm pbc="T T T"
Ta 7.763 0.816 0.000
Ta 0.816 2.153 0.000
Ta 5.773 2.805 0.000
Ta 2.805 4.142 0.000
Ta 2.153 0.816 2.457
Ta -0.816 2.153 2.457
Ta 4.142 2.805 2.457
Ta -2.805 4.142 2.457
Fe 4.958 0.000 1.229
Fe 0.000 4.958 1.229
Si 3.449 1.509 0.000
Si 0.000 0.000 1.229
Si 3.449 -1.509 2.457
Si 1.509 6.467 0.000
Si 0.000 0.000 3.686
Si 1.509 3.449 2.457